(1)
First-principles (PBE-GGA) data for a relaxed Co3BPb crystal, as listed in Alexandria via LeMat-Bulk.

energy relative to the elements	108.0	meV per atom
ρ	10.8	Mg/m³
E_tot	-31.16	eV/cell
relative energy among the computed polymorphs	0.000	eV per atom

Lattice parameters (Å, degrees): 3.925 3.925 3.925 90.00 90.00 90.00
Fractional coordinates of all 5 atoms:
1 Co 0.000 0.500 0.000
2 Co 0.500 0.000 0.000
3 Co 0.000 0.000 0.500
4 B 0.000 0.000 0.000
5 Pb 0.500 0.500 0.500


(2)
First-principles (PBE-GGA) data for a relaxed TmLuGaOs crystal, as listed in Alexandria via LeMat-Bulk.

energy relative to the elements	-422.5	meV per atom
ρ	12.5	Mg/m³
E_tot	-24.94	eV/cell

Lattice parameters (Å, degrees): 4.837 4.837 4.837 60.00 60.00 60.00
Fractional coordinates of all 4 atoms:
1 Tm 0.500 0.500 0.500
2 Lu 0.000 0.000 0.000
3 Os 0.750 0.750 0.750
4 Ga 0.250 0.250 0.250


(3)
First-principles (PBE-GGA) data for a relaxed CaZr2Zn6 crystal, as listed in Alexandria via LeMat-Bulk.

energy relative to the elements	-253.0	meV per atom
ρ	6.2	Mg/m³
E_tot	-29.02	eV/cell

Lattice parameters (Å, degrees): 3.237 7.674 7.674 120.00 90.00 90.00
Fractional coordinates of all 9 atoms:
1 Zr 0.000 0.333 0.667
2 Ca 0.000 0.000 0.000
3 Zn 0.500 0.000 0.339
4 Zn 0.500 0.661 0.000
5 Zr 0.000 0.667 0.333
6 Zn 0.500 0.339 0.000
7 Zn 0.500 0.000 0.661
8 Zn 0.500 0.339 0.339
9 Zn 0.500 0.661 0.661


(4)
First-principles (PBE-GGA) data for a relaxed KBaHf3 crystal, as listed in Alexandria via LeMat-Bulk.

energy relative to the elements	1957.4	meV per atom
ρ	7.1	Mg/m³
E_tot	-23.09	eV/cell
relative energy among the computed polymorphs	0.000	eV per atom

Lattice parameters (Å, degrees): 5.513 5.513 5.513 90.00 90.00 90.00
Fractional coordinates of all 5 atoms:
1 Hf 0.000 0.500 0.000
2 Ba 0.000 0.000 0.000
3 K 0.500 0.500 0.500
4 Hf 0.500 0.000 0.000
5 Hf 0.000 0.000 0.500